This record from Alexandria describes a geometry-optimized AlV3O9 structure. The functional is PBE with a Hubbard U.

Properties
The final energy is -7.49 eV per atom.

Cell and atoms, written as CIF:
```
data_AlV3O9
_symmetry_space_group_name_H-M 'C 1 c 1'
_symmetry_Int_Tables_number 9
_symmetry_space_group_name_Hall 'C -2yc'
_cell_length_a 14.157
_cell_length_b 6.972
_cell_length_c 10.058
_cell_angle_alpha 90.00
_cell_angle_beta 125.94
_cell_angle_gamma 90.00
loop_
_atom_site_label
_atom_site_type_symbol
_atom_site_fract_x
_atom_site_fract_y
_atom_site_fract_z
Al1 Al 0.000 0.250 0.000
V1 V 0.125 0.102 0.818
V2 V 0.250 0.485 0.750
V3 V 0.375 0.102 0.682
O1 O 0.019 0.131 0.846
O2 O 0.079 0.039 0.153
O3 O 0.145 0.378 0.094
O4 O 0.179 0.331 0.808
O5 O 0.250 0.001 0.500
O6 O 0.322 0.332 0.693
O7 O 0.355 0.377 0.406
O8 O 0.421 0.038 0.347
O9 O 0.481 0.130 0.653
```